Entry from Alexandria via LeMat-Bulk: a geometry-optimized KSrWO4 structure (GGA+U).

Calculated values
Its volume is 291.6 Å³ per cell. As for the space-group type: P2_1/m. The raw total energy is -6.388 eV/atom.

Cell: 6.5198 6.3573 7.3121 Å, 90.00 105.81 90.00°
With the nearest neighbours (Å) after each atom.
Fractional positions:
K  0.2308  0.2500  0.4378  2 O 2.69-2.74
K  0.7692  0.7500  0.5622  2 O 2.69-2.74
Sr  0.3275  0.2500  0.9566  6 O 2.47-2.73
Sr  0.6725  0.7500  0.0434  6 O 2.47-2.73
W  0.2033  0.7500  0.1624  4 O 1.83-1.95
W  0.7967  0.2500  0.8376  4 O 1.83-1.95
O  0.0296  0.7500  0.9184  1 W 1.83
O  0.0393  0.7500  0.3327  1 W 1.85
O  0.4247  0.5370  0.1924  1 W 1.95
O  0.4247  0.9630  0.1924  1 W 1.95
O  0.5753  0.0370  0.8076  1 W 1.95
O  0.5753  0.4630  0.8076  1 W 1.95
O  0.9607  0.2500  0.6673  1 W 1.85
O  0.9704  0.2500  0.0816  1 W 1.83